1.
# PBE-GGA Pr2Nd2In3, relaxed
# Density of states at the Fermi level: 0.997 states/eV per atom
# ΔE_f: -347 meV per atom
# Space-group type: P2/m (10)
# Crystal system: monoclinic
# Excess energy over the best structure of this formula in the dataset: 25 meV per atom
# E_tot: -4.248 eV per atom
data_Pr2Nd2In3
_chemical_formula_sum 'Pr2 Nd2 In3'
_cell_length_a 4.591
_cell_length_b 3.634
_cell_length_c 12.814
_cell_angle_alpha 90.00
_cell_angle_beta 79.66
_cell_angle_gamma 90.00
_space_group_name_H-M_alt 'P 1'
_space_group_IT_number 1
loop_
_space_group_symop_operation_xyz
'x,y,z'
loop_
_atom_site_label
_atom_site_fract_x
_atom_site_fract_y
_atom_site_fract_z
Pr1 0.700 0.500 0.598
Pr2 0.300 0.500 0.402
Nd1 0.568 0.500 0.863
Nd2 0.432 0.500 0.137
In1 0.863 0.000 0.277
In2 0.000 0.000 0.000
In3 0.137 0.000 0.723

2.
# PBE-GGA Pr4Nd3In, relaxed
# Density of states at the Fermi level: 1.198 states/eV per atom
# ΔE_f: -102 meV per atom
# Space-group type: Pmn2_1 (31)
# Crystal system: orthorhombic
# Excess energy over the best structure of this formula in the dataset: 0 meV per atom
# E_tot: -4.622 eV per atom
data_Pr4Nd3In
_chemical_formula_sum 'Pr8 Nd6 In2'
_cell_length_a 6.345
_cell_length_b 7.308
_cell_length_c 11.642
_cell_angle_alpha 90.00
_cell_angle_beta 90.00
_cell_angle_gamma 90.00
_space_group_name_H-M_alt 'P 1'
_space_group_IT_number 1
loop_
_space_group_symop_operation_xyz
'x,y,z'
loop_
_atom_site_label
_atom_site_fract_x
_atom_site_fract_y
_atom_site_fract_z
Pr1 0.173 0.629 0.000
Pr2 0.623 0.369 0.000
Pr3 0.989 0.365 0.229
Pr4 0.489 0.635 0.271
Pr5 0.123 0.631 0.500
Pr6 0.673 0.371 0.500
Pr7 0.489 0.635 0.729
Pr8 0.989 0.365 0.771
Nd1 0.647 0.876 0.000
Nd2 0.972 0.885 0.245
Nd3 0.472 0.115 0.255
Nd4 0.147 0.124 0.500
Nd5 0.472 0.115 0.745
Nd6 0.972 0.885 0.755
In1 0.150 0.114 0.000
In2 0.650 0.886 0.500

3.
# PBE-GGA PrNd3In3, relaxed
# Density of states at the Fermi level: 0.953 states/eV per atom
# ΔE_f: -349 meV per atom
# Space-group type: P6_3/m (176)
# Crystal system: hexagonal
# Excess energy over the best structure of this formula in the dataset: 0 meV per atom
# E_tot: -4.249 eV per atom
data_PrNd3In3
_chemical_formula_sum 'Pr2 Nd6 In6'
_cell_length_a 5.248
_cell_length_b 9.746
_cell_length_c 9.746
_cell_angle_alpha 120.00
_cell_angle_beta 90.00
_cell_angle_gamma 90.00
_space_group_name_H-M_alt 'P 1'
_space_group_IT_number 1
loop_
_space_group_symop_operation_xyz
'x,y,z'
loop_
_atom_site_label
_atom_site_fract_x
_atom_site_fract_y
_atom_site_fract_z
Pr1 0.250 0.667 0.333
Pr2 0.750 0.333 0.667
Nd1 0.250 0.760 0.763
Nd2 0.250 0.237 0.997
Nd3 0.250 0.003 0.240
Nd4 0.750 0.240 0.237
Nd5 0.750 0.763 0.003
Nd6 0.750 0.997 0.760
In1 0.750 0.613 0.546
In2 0.750 0.454 0.067
In3 0.750 0.933 0.387
In4 0.250 0.387 0.454
In5 0.250 0.546 0.933
In6 0.250 0.067 0.613

4.
# PBE-GGA PrNd5In3, relaxed
# Density of states at the Fermi level: 1.456 states/eV per atom
# ΔE_f: -341 meV per atom
# Space-group type: P6_3/mcm (193)
# Crystal system: hexagonal
# E_tot: -4.434 eV per atom
data_PrNd5In3
_chemical_formula_sum 'Pr2 Nd10 In6'
_cell_length_a 6.953
_cell_length_b 9.657
_cell_length_c 9.657
_cell_angle_alpha 120.00
_cell_angle_beta 90.00
_cell_angle_gamma 90.00
_space_group_name_H-M_alt 'P 1'
_space_group_IT_number 1
loop_
_space_group_symop_operation_xyz
'x,y,z'
loop_
_atom_site_label
_atom_site_fract_x
_atom_site_fract_y
_atom_site_fract_z
Pr1 0.000 0.000 0.000
Pr2 0.500 0.000 0.000
Nd1 0.000 0.667 0.333
Nd2 0.500 0.333 0.667
Nd3 0.000 0.333 0.667
Nd4 0.500 0.667 0.333
Nd5 0.750 0.668 0.668
Nd6 0.750 0.000 0.332
Nd7 0.750 0.332 0.000
Nd8 0.250 0.332 0.332
Nd9 0.250 0.000 0.668
Nd10 0.250 0.668 0.000
In1 0.750 0.335 0.335
In2 0.750 0.000 0.665
In3 0.750 0.665 0.000
In4 0.250 0.665 0.665
In5 0.250 0.000 0.335
In6 0.250 0.335 0.000

5.
# PBE-GGA Pr2Nd2In3, relaxed
# Density of states at the Fermi level: 0.870 states/eV per atom
# ΔE_f: -372 meV per atom
# Space-group type: C2/m (12)
# Crystal system: monoclinic
# Excess energy over the best structure of this formula in the dataset: 0 meV per atom
# E_tot: -4.273 eV per atom
data_Pr2Nd2In3
_chemical_formula_sum 'Pr2 Nd2 In3'
_cell_length_a 4.031
_cell_length_b 8.805
_cell_length_c 6.281
_cell_angle_alpha 92.90
_cell_angle_beta 71.31
_cell_angle_gamma 89.99
_space_group_name_H-M_alt 'P 1'
_space_group_IT_number 1
loop_
_space_group_symop_operation_xyz
'x,y,z'
loop_
_atom_site_label
_atom_site_fract_x
_atom_site_fract_y
_atom_site_fract_z
Pr1 0.559 0.297 0.882
Pr2 0.441 0.703 0.118
Nd1 0.709 0.838 0.582
Nd2 0.291 0.162 0.418
In1 0.000 0.000 0.000
In2 0.838 0.448 0.325
In3 0.162 0.552 0.675

6.
# PBE-GGA Pr12NdIn3, relaxed
# Density of states at the Fermi level: 1.439 states/eV per atom
# ΔE_f: -197 meV per atom
# Space-group type: P4/mmm (123)
# Crystal system: tetragonal
# E_tot: -4.593 eV per atom
data_Pr12NdIn3
_chemical_formula_sum 'Pr12 Nd1 In3'
_cell_length_a 5.045
_cell_length_b 5.045
_cell_length_c 20.625
_cell_angle_alpha 90.00
_cell_angle_beta 90.00
_cell_angle_gamma 90.00
_space_group_name_H-M_alt 'P 1'
_space_group_IT_number 1
loop_
_space_group_symop_operation_xyz
'x,y,z'
loop_
_atom_site_label
_atom_site_fract_x
_atom_site_fract_y
_atom_site_fract_z
Pr1 0.500 0.500 0.000
Pr2 0.500 0.500 0.257
Pr3 0.500 0.500 0.500
Pr4 0.500 0.500 0.743
Pr5 0.500 0.000 0.133
Pr6 0.500 0.000 0.378
Pr7 0.500 0.000 0.622
Pr8 0.500 0.000 0.867
Pr9 0.000 0.500 0.133
Pr10 0.000 0.500 0.378
Pr11 0.000 0.500 0.622
Pr12 0.000 0.500 0.867
Nd1 0.000 0.000 0.000
In1 0.000 0.000 0.256
In2 0.000 0.000 0.500
In3 0.000 0.000 0.744

7.
# PBE-GGA Pr3Nd8In, relaxed
# Density of states at the Fermi level: 1.477 states/eV per atom
# ΔE_f: -30 meV per atom
# Space-group type: P1 (1)
# Crystal system: triclinic
# E_tot: -4.632 eV per atom
data_Pr3Nd8In
_chemical_formula_sum 'Pr3 Nd8 In1'
_cell_length_a 5.763
_cell_length_b 10.110
_cell_length_c 9.471
_cell_angle_alpha 54.88
_cell_angle_beta 107.74
_cell_angle_gamma 90.00
_space_group_name_H-M_alt 'P 1'
_space_group_IT_number 1
loop_
_space_group_symop_operation_xyz
'x,y,z'
loop_
_atom_site_label
_atom_site_fract_x
_atom_site_fract_y
_atom_site_fract_z
Pr1 0.453 0.168 0.907
Pr2 0.791 0.205 0.583
Pr3 0.608 0.707 0.216
Nd1 0.360 0.931 0.720
Nd2 0.130 0.244 0.259
Nd3 0.975 0.705 0.950
Nd4 0.222 0.481 0.444
Nd5 0.873 0.466 0.746
Nd6 0.066 0.952 0.132
Nd7 0.518 0.459 0.035
Nd8 0.711 0.946 0.421
In1 0.292 0.705 0.583

8.
# PBE-GGA Pr2NdIn4, relaxed
# Density of states at the Fermi level: 0.880 states/eV per atom
# ΔE_f: -310 meV per atom
# Space-group type: I4/mmm (139)
# Crystal system: tetragonal
# Excess energy over the best structure of this formula in the dataset: 124 meV per atom
# E_tot: -3.922 eV per atom
data_Pr2NdIn4
_chemical_formula_sum 'Pr2 Nd1 In4'
_cell_length_a 5.401
_cell_length_b 5.401
_cell_length_c 8.473
_cell_angle_alpha 108.58
_cell_angle_beta 108.58
_cell_angle_gamma 90.00
_space_group_name_H-M_alt 'P 1'
_space_group_IT_number 1
loop_
_space_group_symop_operation_xyz
'x,y,z'
loop_
_atom_site_label
_atom_site_fract_x
_atom_site_fract_y
_atom_site_fract_z
Pr1 0.745 0.745 0.490
Pr2 0.255 0.255 0.510
Nd1 0.000 0.000 0.000
In1 0.387 0.887 0.774
In2 0.887 0.387 0.774
In3 0.613 0.113 0.226
In4 0.113 0.613 0.226

9.
# PBE-GGA Pr9NdIn2, relaxed
# Density of states at the Fermi level: 1.236 states/eV per atom
# ΔE_f: -172 meV per atom
# Space-group type: P4/mmm (123)
# Crystal system: tetragonal
# E_tot: -4.610 eV per atom
data_Pr9NdIn2
_chemical_formula_sum 'Pr9 Nd1 In2'
_cell_length_a 5.059
_cell_length_b 5.059
_cell_length_c 15.552
_cell_angle_alpha 90.00
_cell_angle_beta 90.00
_cell_angle_gamma 90.00
_space_group_name_H-M_alt 'P 1'
_space_group_IT_number 1
loop_
_space_group_symop_operation_xyz
'x,y,z'
loop_
_atom_site_label
_atom_site_fract_x
_atom_site_fract_y
_atom_site_fract_z
Pr1 0.500 0.500 0.000
Pr2 0.500 0.500 0.339
Pr3 0.500 0.500 0.661
Pr4 0.500 0.000 0.175
Pr5 0.500 0.000 0.500
Pr6 0.500 0.000 0.825
Pr7 0.000 0.500 0.175
Pr8 0.000 0.500 0.500
Pr9 0.000 0.500 0.825
Nd1 0.000 0.000 0.000
In1 0.000 0.000 0.338
In2 0.000 0.000 0.662

10.
# PBE-GGA Pr8NdIn6, relaxed
# Density of states at the Fermi level: 1.481 states/eV per atom
# ΔE_f: -251 meV per atom
# Space-group type: R-3 (148)
# Crystal system: trigonal
# E_tot: -4.213 eV per atom
data_Pr8NdIn6
_chemical_formula_sum 'Pr8 Nd1 In6'
_cell_length_a 9.332
_cell_length_b 9.332
_cell_length_c 8.592
_cell_angle_alpha 57.11
_cell_angle_beta 57.11
_cell_angle_gamma 60.00
_space_group_name_H-M_alt 'P 1'
_space_group_IT_number 1
loop_
_space_group_symop_operation_xyz
'x,y,z'
loop_
_atom_site_label
_atom_site_fract_x
_atom_site_fract_y
_atom_site_fract_z
Pr1 0.550 0.218 0.349
Pr2 0.782 0.116 0.651
Pr3 0.116 0.450 0.651
Pr4 0.666 0.666 0.001
Pr5 0.334 0.334 0.999
Pr6 0.884 0.550 0.349
Pr7 0.218 0.884 0.349
Pr8 0.450 0.782 0.651
Nd1 0.000 0.000 0.000
In1 0.385 0.053 0.839
In2 0.947 0.278 0.161
In3 0.278 0.615 0.161
In4 0.722 0.385 0.839
In5 0.053 0.722 0.839
In6 0.615 0.947 0.161

11.
# PBE-GGA Pr5Nd4In, relaxed
# Density of states at the Fermi level: 1.369 states/eV per atom
# ΔE_f: 89 meV per atom
# Space-group type: I4mm (107)
# Crystal system: tetragonal
# Excess energy over the best structure of this formula in the dataset: 98 meV per atom
# E_tot: -4.482 eV per atom
data_Pr5Nd4In
_chemical_formula_sum 'Pr5 Nd4 In1'
_cell_length_a 6.166
_cell_length_b 8.228
_cell_length_c 8.228
_cell_angle_alpha 81.93
_cell_angle_beta 68.00
_cell_angle_gamma 68.00
_space_group_name_H-M_alt 'P 1'
_space_group_IT_number 1
loop_
_space_group_symop_operation_xyz
'x,y,z'
loop_
_atom_site_label
_atom_site_fract_x
_atom_site_fract_y
_atom_site_fract_z
Pr1 0.766 0.375 0.000
Pr2 0.141 0.000 0.625
Pr3 0.766 0.000 0.375
Pr4 0.141 0.625 0.000
Pr5 0.670 0.000 0.000
Nd1 0.459 0.312 0.688
Nd2 0.771 0.688 0.688
Nd3 0.147 0.312 0.312
Nd4 0.459 0.688 0.312
In1 0.191 0.000 0.000

12.
# PBE-GGA Pr2Nd3In2, relaxed
# Density of states at the Fermi level: 1.111 states/eV per atom
# ΔE_f: -185 meV per atom
# Space-group type: P-1 (2)
# Crystal system: triclinic
# Excess energy over the best structure of this formula in the dataset: 69 meV per atom
# E_tot: -4.376 eV per atom
data_Pr2Nd3In2
_chemical_formula_sum 'Pr2 Nd3 In2'
_cell_length_a 5.382
_cell_length_b 6.682
_cell_length_c 6.603
_cell_angle_alpha 84.47
_cell_angle_beta 81.78
_cell_angle_gamma 97.77
_space_group_name_H-M_alt 'P 1'
_space_group_IT_number 1
loop_
_space_group_symop_operation_xyz
'x,y,z'
loop_
_atom_site_label
_atom_site_fract_x
_atom_site_fract_y
_atom_site_fract_z
Pr1 0.768 0.808 0.547
Pr2 0.232 0.192 0.453
Nd1 0.000 0.000 0.000
Nd2 0.769 0.458 0.193
Nd3 0.231 0.542 0.807
In1 0.688 0.277 0.726
In2 0.312 0.723 0.274